No. 1
BeCdS2Cl, relaxed, DFT GGA-PBE; symmetry = P4/mmm; formation energy (no corrections) = -0.09 eV/atom
1.0
-3.9823 -1.2419 0.6088
1.3809 -3.4661 1.9624
-0.0969 2.5663 4.6010
S Cd Cl Be
2 1 1 1
Direct
0.5000 0.0000 0.0000
0.0000 0.5000 0.0000
0.5000 0.5000 0.5000
0.0000 0.0000 0.5000
0.0000 0.0000 0.0000



No. 2
BeCdS2Cl, relaxed, DFT GGA-PBE; symmetry = P4/mmm; formation energy (no corrections) = 0.81 eV/atom
1.0
4.9971 0.0000 0.0000
0.0000 4.9971 0.0000
0.0000 0.0000 5.0239
S Cd Be Cl
2 1 1 1
Direct
0.0000 0.5000 0.0000
0.5000 0.0000 0.0000
0.0000 0.0000 0.0000
0.5000 0.5000 0.5000
0.0000 0.0000 0.5000



No. 3
BeCd2TcCl, relaxed, DFT GGA-PBE; symmetry = P4/mmm; formation energy (no corrections) = 0.54 eV/atom
1.0
-1.5947 0.9435 -4.4600
-4.0151 -0.5075 1.3282
-0.2372 4.7014 1.0794
Be Cd Tc Cl
1 2 1 1
Direct
0.0000 0.0000 0.0000
0.5000 0.0000 0.0000
0.0000 0.0000 0.5000
0.0000 0.5000 0.0000
0.5000 0.5000 0.5000